## i
The following is a DFT calculation (PBE) of a geometry-optimized PmTmGaAg structure.

abc: 3.568 3.568 7.503
angles: 90.00 90.00 90.00
Fractional coordinates of all 4 atoms:
Ga 0.500 0.500 0.591
Tm 0.000 0.000 0.358
Pm 0.000 0.000 0.847
Ag 0.500 0.500 0.132

Computed properties:
Space-group type = P4mm

## ii
The following is a DFT calculation (PBE) of a geometry-optimized PmTmGaAg structure.

abc: 5.150 5.150 5.150
angles: 60.00 60.00 60.00
Fractional coordinates of all 4 atoms:
Ag 0.750 0.750 0.750
Tm 0.000 0.000 0.000
Ga 0.250 0.250 0.250
Pm 0.500 0.500 0.500

Computed properties:
Space-group type = F-43m

Most stable structure - i; separation to the second - 0.011 eV/atom.

## i
The following is a DFT calculation (PBE) of a geometry-optimized PrGa2Ag6 structure.

abc: 4.310 4.310 9.513
angles: 90.00 90.00 90.00
Fractional coordinates of all 9 atoms:
Ag 0.500 0.500 0.500
Ag 0.000 0.000 0.500
Ag 0.500 0.000 0.291
Ag 0.500 0.000 0.709
Ag 0.000 0.500 0.291
Ag 0.000 0.500 0.709
Pr 0.000 0.000 0.000
Ga 0.500 0.500 0.871
Ga 0.500 0.500 0.129

Computed properties:
Space-group type = P4/mmm

## ii
The following is a DFT calculation (PBE) of a geometry-optimized PrGa2Ag6 structure.

abc: 3.307 8.043 8.043
angles: 64.04 78.10 78.10
Fractional coordinates of all 9 atoms:
Ag 0.500 0.664 0.336
Ag 0.681 0.986 0.652
Ag 0.319 0.348 0.014
Ag 0.319 0.014 0.348
Ag 0.500 0.336 0.664
Ag 0.681 0.652 0.986
Pr 0.000 0.000 0.000
Ga 0.148 0.357 0.357
Ga 0.852 0.643 0.643

Computed properties:
Space-group type = C2/m

Most stable structure - i; separation to the second - 0.208 eV/atom.

## i
The following is a DFT calculation (PBE) of a geometry-optimized Pr2Ga3Ag structure.

abc: 5.995 5.995 8.791
angles: 106.88 106.88 98.54
Fractional coordinates of all 12 atoms:
Pr 0.258 0.258 0.000
Pr 0.750 0.250 0.500
Pr 0.250 0.750 0.500
Pr 0.742 0.742 0.000
Ga 0.673 0.162 0.835
Ga 0.163 0.163 0.325
Ga 0.327 0.838 0.165
Ga 0.162 0.673 0.835
Ga 0.837 0.837 0.675
Ga 0.838 0.327 0.165
Ag 0.331 0.331 0.663
Ag 0.669 0.669 0.337

Computed properties:
Space-group type = Fmmm

## ii
The following is a DFT calculation (PBE) of a geometry-optimized Pr2Ga3Ag structure.

abc: 4.128 4.459 8.364
angles: 105.46 104.29 90.00
Fractional coordinates of all 6 atoms:
Ga 0.544 0.544 0.087
Ga 0.292 0.792 0.585
Ga 0.706 0.706 0.411
Pr 0.865 0.365 0.730
Pr 0.134 0.134 0.267
Ag 0.459 0.959 0.919

Computed properties:
Space-group type = Imm2

Most stable structure - i; separation to the second - 0.013 eV/atom.

## i
The following is a DFT calculation (PBE) of a geometry-optimized PrGa2Ag structure.

abc: 4.439 4.439 5.795
angles: 67.48 67.48 60.00
Fractional coordinates of all 4 atoms:
Ga 0.283 0.283 0.152
Ga 0.717 0.717 0.848
Pr 0.500 0.500 0.500
Ag 0.000 0.000 0.000

Computed properties:
Space-group type = R-3m

## ii
The following is a DFT calculation (PBE) of a geometry-optimized PrGa2Ag structure.

abc: 4.739 6.727 10.637
angles: 90.00 90.00 90.00
Fractional coordinates of all 16 atoms:
Pr 0.750 0.250 0.355
Pr 0.250 0.250 0.855
Pr 0.750 0.750 0.145
Pr 0.250 0.750 0.645
Ga 0.250 0.446 0.134
Ga 0.750 0.054 0.634
Ga 0.250 0.554 0.366
Ga 0.250 0.946 0.366
Ga 0.750 0.446 0.634
Ga 0.750 0.554 0.866
Ga 0.250 0.054 0.134
Ga 0.750 0.946 0.866
Ag 0.750 0.250 0.055
Ag 0.250 0.250 0.555
Ag 0.750 0.750 0.445
Ag 0.250 0.750 0.945

Computed properties:
Space-group type = Cmcm

## iii
The following is a DFT calculation (PBE) of a geometry-optimized PrGa2Ag structure.

abc: 4.299 4.527 4.527
angles: 90.00 90.00 90.00
Fractional coordinates of all 4 atoms:
Ga 0.000 0.500 0.000
Ga 0.000 0.000 0.500
Pr 0.500 0.500 0.500
Ag 0.500 0.000 0.000

Computed properties:
Space-group type = P4/mmm

Most stable structure - ii; separation to the second - 0.044 eV/atom.

## i
The following is a DFT calculation (PBE) of a geometry-optimized Pr8GaAg2 structure.

abc: 5.319 7.339 9.669
angles: 108.52 105.97 90.00
Fractional coordinates of all 11 atoms:
Ga 0.500 0.000 0.000
Ag 0.178 0.714 0.356
Ag 0.822 0.286 0.644
Pr 0.410 0.541 0.820
Pr 0.332 0.020 0.664
Pr 0.590 0.459 0.180
Pr 0.977 0.222 0.953
Pr 0.668 0.980 0.336
Pr 0.196 0.317 0.391
Pr 0.804 0.683 0.609
Pr 0.023 0.778 0.047

Computed properties:
Space-group type = C2/m

## ii
The following is a DFT calculation (PBE) of a geometry-optimized Pr8GaAg2 structure.

abc: 5.577 8.599 8.599
angles: 117.20 100.19 100.19
Fractional coordinates of all 11 atoms:
Pr 0.589 0.314 0.090
Pr 0.189 0.390 0.390
Pr 0.000 0.779 0.228
Pr 0.000 0.228 0.779
Pr 0.811 0.616 0.616
Pr 0.411 0.692 0.916
Pr 0.411 0.916 0.692
Pr 0.589 0.090 0.314
Ga 0.999 0.003 0.003
Ag 0.500 0.694 0.312
Ag 0.500 0.312 0.694

Computed properties:
Space-group type = Cm

Most stable structure - i; separation to the second - 0.099 eV/atom.

## i
The following is a DFT calculation (PBE) of a geometry-optimized Pr2GaAg3 structure.

abc: 4.068 4.336 9.044
angles: 103.87 103.00 90.00
Fractional coordinates of all 6 atoms:
Ag 0.538 0.538 0.077
Ag 0.304 0.804 0.608
Ag 0.699 0.699 0.398
Ga 0.459 0.959 0.918
Pr 0.121 0.121 0.241
Pr 0.879 0.379 0.758

Computed properties:
Space-group type = Imm2

## ii
The following is a DFT calculation (PBE) of a geometry-optimized Pr2GaAg3 structure.

abc: 5.975 5.975 9.584
angles: 113.43 113.43 73.99
Fractional coordinates of all 12 atoms:
Pr 0.756 0.244 0.000
Pr 0.750 0.250 0.500
Pr 0.250 0.750 0.500
Pr 0.244 0.756 0.000
Ag 0.659 0.659 0.831
Ag 0.341 0.341 0.169
Ag 0.172 0.172 0.831
Ag 0.828 0.828 0.169
Ag 0.170 0.170 0.340
Ag 0.830 0.830 0.660
Ga 0.333 0.333 0.667
Ga 0.667 0.667 0.333

Computed properties:
Space-group type = Fmmm

Most stable structure - ii; separation to the second - 0.066 eV/atom.

## i
The following is a DFT calculation (PBE) of a geometry-optimized Pr3GaAg structure.

abc: 5.344 5.353 10.341
angles: 90.00 75.03 90.00
Fractional coordinates of all 10 atoms:
Pr 0.393 0.250 0.863
Pr 0.256 0.750 0.137
Pr 0.072 0.750 0.504
Pr 0.576 0.250 0.496
Pr 0.887 0.750 0.874
Pr 0.761 0.250 0.126
Ga 0.670 0.750 0.309
Ga 0.978 0.250 0.691
Ag 0.480 0.750 0.688
Ag 0.168 0.250 0.312

Computed properties:
Space-group type = Cmcm

## ii
The following is a DFT calculation (PBE) of a geometry-optimized Pr3GaAg structure.

abc: 9.599 9.599 13.255
angles: 43.84 43.84 51.32
Fractional coordinates of all 20 atoms:
Pr 0.407 0.219 0.376
Pr 0.354 0.705 0.083
Pr 0.190 0.148 0.777
Pr 0.646 0.295 0.917
Pr 0.219 0.407 0.876
Pr 0.810 0.852 0.223
Pr 0.593 0.781 0.624
Pr 0.705 0.354 0.583
Pr 0.781 0.593 0.124
Pr 0.148 0.190 0.277
Pr 0.852 0.810 0.723
Pr 0.295 0.646 0.417
Ga 0.644 0.194 0.485
Ga 0.356 0.806 0.515
Ga 0.806 0.356 0.015
Ga 0.194 0.644 0.985
Ag 0.500 0.000 0.000
Ag 0.952 0.048 0.250
Ag 0.048 0.952 0.750
Ag 0.000 0.500 0.500

Computed properties:
Space-group type = C2/c

Most stable structure - i; separation to the second - 0.075 eV/atom.

## i
The following is a DFT calculation (PBE) of a geometry-optimized PrGa3Ag3 structure.

abc: 4.360 6.623 10.737
angles: 114.70 90.00 90.00
Fractional coordinates of all 14 atoms:
Ga 0.250 0.471 0.889
Ga 0.750 0.821 0.626
Ga 0.250 0.179 0.374
Ga 0.250 0.086 0.684
Ga 0.750 0.529 0.111
Ga 0.750 0.914 0.316
Ag 0.250 0.203 0.050
Ag 0.250 0.823 0.130
Ag 0.750 0.797 0.950
Ag 0.750 0.177 0.870
Ag 0.250 0.757 0.769
Ag 0.750 0.243 0.231
Pr 0.750 0.329 0.599
Pr 0.250 0.671 0.401

Computed properties:
Space-group type = P2_1/m

## ii
The following is a DFT calculation (PBE) of a geometry-optimized PrGa3Ag3 structure.

abc: 7.039 7.039 7.039
angles: 90.00 90.00 90.00
Fractional coordinates of all 14 atoms:
Ga 0.750 0.500 0.000
Ga 0.000 0.250 0.500
Ga 0.000 0.750 0.500
Ga 0.500 0.000 0.750
Ga 0.500 0.000 0.250
Ga 0.250 0.500 0.000
Pr 0.500 0.500 0.500
Pr 0.000 0.000 0.000
Ag 0.750 0.000 0.500
Ag 0.000 0.500 0.750
Ag 0.250 0.000 0.500
Ag 0.000 0.500 0.250
Ag 0.500 0.250 0.000
Ag 0.500 0.750 0.000

Computed properties:
Space-group type = Pm-3n

Most stable structure - i; separation to the second - 0.417 eV/atom.

## i
The following is a DFT calculation (PBE) of a geometry-optimized PrGa3Ag structure.

abc: 6.045 5.805 5.806
angles: 92.90 90.00 90.01
Fractional coordinates of all 10 atoms:
Ga 0.471 0.122 0.096
Ga 0.481 0.822 0.398
Ga 0.981 0.531 0.503
Ga 0.970 0.230 0.805
Ga 0.726 0.836 0.791
Ga 0.226 0.516 0.111
Ag 0.225 0.842 0.785
Ag 0.725 0.511 0.117
Pr 0.976 0.013 0.287
Pr 0.476 0.340 0.614

Computed properties:
Space-group type = P2_1

## ii
The following is a DFT calculation (PBE) of a geometry-optimized PrGa3Ag structure.

abc: 4.333 4.334 6.322
angles: 69.93 69.93 90.05
Fractional coordinates of all 5 atoms:
Ga 0.653 0.955 0.400
Ga 0.793 0.596 0.118
Ga 0.151 0.457 0.400
Ag 0.022 0.826 0.662
Pr 0.388 0.192 0.929

Computed properties:
Space-group type = Cm

Most stable structure - ii; separation to the second - 0.039 eV/atom.

## i
The following is a DFT calculation (PBE) of a geometry-optimized RbGaAg3 structure.

abc: 6.060 6.060 6.060
angles: 90.00 90.00 90.00
Fractional coordinates of all 5 atoms:
Rb 0.000 0.000 0.000
Ag 0.500 0.000 0.000
Ag 0.000 0.500 0.000
Ag 0.000 0.000 0.500
Ga 0.500 0.500 0.500

Computed properties:
Space-group type = Pm-3m

## ii
The following is a DFT calculation (PBE) of a geometry-optimized RbGaAg3 structure.

abc: 5.152 5.152 5.152
angles: 90.00 90.00 90.00
Fractional coordinates of all 5 atoms:
Ag 0.000 0.000 0.500
Ag 0.500 0.000 0.000
Ag 0.000 0.500 0.000
Rb 0.500 0.500 0.500
Ga 0.000 0.000 0.000

Computed properties:
Space-group type = Pm-3m

## iii
The following is a DFT calculation (PBE) of a geometry-optimized RbGaAg3 structure.

abc: 7.366 8.573 8.573
angles: 72.44 78.61 78.61
Fractional coordinates of all 20 atoms:
Ag 0.054 0.947 0.664
Ag 0.104 0.339 0.274
Ag 0.396 0.726 0.661
Ag 0.642 0.960 0.612
Ag 0.446 0.336 0.053
Ag 0.604 0.274 0.339
Ag 0.858 0.388 0.040
Ag 0.946 0.053 0.336
Ag 0.358 0.040 0.388
Ag 0.896 0.661 0.726
Ag 0.142 0.612 0.960
Ag 0.554 0.664 0.947
Rb 0.250 0.010 0.990
Rb 0.250 0.347 0.653
Rb 0.750 0.990 0.010
Rb 0.750 0.653 0.347
Ga 0.821 0.229 0.574
Ga 0.321 0.574 0.229
Ga 0.679 0.426 0.771
Ga 0.179 0.771 0.426

Computed properties:
Space-group type = C2/c

Most stable structure - iii; separation to the second - 0.047 eV/atom.